1.
DFT (meta-GGA SCAN) results for a crystal of CaMgZn relaxed with PBEsol.

Calculated values
The formation energy from the elements comes out at -0.127 eV/atom. The calculation puts the total energy at -9.511 eV per atom. Its mass density is 2895 kg/m3.

a = 3.716 Å, b = 10.262 Å, c = 7.810 Å
α = 90.00°, β = 90.00°, γ = 90.00°
Fractional coordinates of all 12 atoms:
1 Ca 0.000 0.058 0.000
2 Ca 0.000 0.369 0.402
3 Ca 0.000 0.631 0.902
4 Ca 0.000 0.942 0.500
5 Mg 0.500 0.175 0.672
6 Mg 0.500 0.335 0.030
7 Mg 0.500 0.665 0.530
8 Mg 0.500 0.825 0.172
9 Zn 0.500 0.131 0.300
10 Zn 0.500 0.437 0.708
11 Zn 0.500 0.563 0.208
12 Zn 0.500 0.869 0.800


2.
DFT (meta-GGA SCAN) results for a crystal of Ca3Mg4Zn11 relaxed with PBEsol.

Calculated values
The formation energy from the elements comes out at -0.183 eV/atom. The calculation puts the total energy at -11.158 eV per atom. Its mass density is 4613 kg/m3.

a = 9.180 Å, b = 9.180 Å, c = 9.242 Å
α = 90.00°, β = 90.00°, γ = 120.00°
Fractional coordinates of all 36 atoms:
1 Ca 0.199 0.398 0.250
2 Ca 0.199 0.801 0.250
3 Ca 0.398 0.199 0.750
4 Ca 0.602 0.801 0.250
5 Ca 0.801 0.199 0.750
6 Ca 0.801 0.602 0.750
7 Mg 0.000 0.000 0.250
8 Mg 0.000 0.000 0.750
9 Mg 0.000 0.500 0.000
10 Mg 0.000 0.500 0.500
11 Mg 0.500 0.000 0.000
12 Mg 0.500 0.000 0.500
13 Mg 0.500 0.500 0.000
14 Mg 0.500 0.500 0.500
15 Zn 0.145 0.572 0.750
16 Zn 0.155 0.310 0.590
17 Zn 0.155 0.310 0.910
18 Zn 0.155 0.845 0.590
19 Zn 0.155 0.845 0.910
20 Zn 0.310 0.155 0.090
21 Zn 0.310 0.155 0.410
22 Zn 0.333 0.667 0.511
23 Zn 0.333 0.667 0.989
24 Zn 0.428 0.572 0.750
25 Zn 0.428 0.855 0.750
26 Zn 0.572 0.145 0.250
27 Zn 0.572 0.428 0.250
28 Zn 0.667 0.333 0.011
29 Zn 0.667 0.333 0.489
30 Zn 0.690 0.845 0.590
31 Zn 0.690 0.845 0.910
32 Zn 0.845 0.155 0.090
33 Zn 0.845 0.155 0.410
34 Zn 0.845 0.690 0.090
35 Zn 0.845 0.690 0.410
36 Zn 0.855 0.428 0.250


3.
DFT (meta-GGA SCAN) results for a crystal of Ca2MgZn relaxed with PBEsol.

Calculated values
The formation energy from the elements comes out at -0.122 eV/atom. The calculation puts the total energy at -9.576 eV per atom. Its energy above the most stable polymorph in this dataset is 22.9 meV per atom. Its mass density is 2645 kg/m3.

a = 5.323 Å, b = 5.323 Å, c = 5.323 Å
α = 60.00°, β = 60.00°, γ = 60.00°
Fractional coordinates of all 4 atoms:
1 Ca 0.250 0.250 0.250
2 Ca 0.750 0.750 0.750
3 Mg 0.000 0.000 0.000
4 Zn 0.500 0.500 0.500


4.
DFT (meta-GGA SCAN) results for a crystal of CaMgZn relaxed with PBEsol.

Calculated values
The formation energy from the elements comes out at -0.202 eV/atom. The calculation puts the total energy at -9.586 eV per atom. Its mass density is 3108 kg/m3.

a = 9.365 Å, b = 5.831 Å, c = 5.831 Å
α = 60.61°, β = 90.00°, γ = 90.00°
Fractional coordinates of all 12 atoms:
1 Ca 0.176 0.000 0.000
2 Ca 0.301 0.335 0.335
3 Ca 0.699 0.335 0.335
4 Ca 0.824 0.000 0.000
5 Mg 0.230 0.673 0.673
6 Mg 0.500 0.331 0.835
7 Mg 0.500 0.835 0.331
8 Mg 0.770 0.673 0.673
9 Zn 0.000 0.027 0.486
10 Zn 0.000 0.486 0.027
11 Zn 0.000 0.491 0.491
12 Zn 0.500 0.836 0.836


5.
DFT (meta-GGA SCAN) results for a crystal of CaMgZn relaxed with PBEsol.

Calculated values
The formation energy from the elements comes out at -0.139 eV/atom. The calculation puts the total energy at -9.523 eV per atom. Its mass density is 2947 kg/m3.

a = 4.788 Å, b = 4.788 Å, c = 3.684 Å
α = 90.00°, β = 90.00°, γ = 120.00°
Fractional coordinates of all 3 atoms:
1 Ca 0.000 0.000 0.000
2 Mg 0.333 0.667 0.500
3 Zn 0.667 0.333 0.500


6.
DFT (meta-GGA SCAN) results for a crystal of Ca2Mg4Zn relaxed with PBEsol.

Calculated values
The formation energy from the elements comes out at -0.067 eV/atom. The calculation puts the total energy at -7.601 eV per atom. Its energy above the most stable polymorph in this dataset is 0.0 meV per atom. Its mass density is 2322 kg/m3.

a = 7.982 Å, b = 7.982 Å, c = 7.982 Å
α = 38.08°, β = 38.08°, γ = 38.08°
Fractional coordinates of all 7 atoms:
1 Ca 0.213 0.213 0.213
2 Ca 0.787 0.787 0.787
3 Mg 0.065 0.065 0.065
4 Mg 0.367 0.367 0.367
5 Mg 0.633 0.633 0.633
6 Mg 0.935 0.935 0.935
7 Zn 0.500 0.500 0.500


7.
DFT (meta-GGA SCAN) results for a crystal of CaMgZn relaxed with PBEsol.

Calculated values
The formation energy from the elements comes out at -0.171 eV/atom. The calculation puts the total energy at -9.555 eV per atom. Its mass density is 3072 kg/m3.

a = 6.356 Å, b = 6.356 Å, c = 6.356 Å
α = 148.43°, β = 148.43°, γ = 45.25°
Fractional coordinates of all 3 atoms:
1 Ca 0.000 0.000 0.000
2 Mg 0.289 0.289 0.000
3 Zn 0.664 0.664 0.000


8.
DFT (meta-GGA SCAN) results for a crystal of CaMgZn2 relaxed with PBEsol.

Calculated values
The formation energy from the elements comes out at -0.112 eV/atom. The calculation puts the total energy at -10.529 eV per atom. Its mass density is 4220 kg/m3.

a = 4.772 Å, b = 4.772 Å, c = 4.772 Å
α = 60.00°, β = 60.00°, γ = 60.00°
Fractional coordinates of all 4 atoms:
1 Ca 0.000 0.000 0.000
2 Mg 0.250 0.250 0.250
3 Zn 0.500 0.500 0.500
4 Zn 0.750 0.750 0.750